Rb2TmWO6, relaxed, DFT PBE with a Hubbard U; DFT total energy = -6.422 eV per atom; N(E_F) = 0.172 states/eV per atom; total moment = 1.1 μB/f.u.
1.0
6.5779 0.0000 0.0000
-3.2889 5.6966 0.0000
0.0000 0.0000 5.8129
Rb Tm W O
2 1 1 6
direct
0.3333 0.6667 0.3904
0.6667 0.3333 0.6096
0.0000 0.0000 0.0000
0.0000 0.0000 0.5000
0.1337 0.2673 0.7116
0.1337 0.8663 0.7116
0.2673 0.1337 0.2884
0.7327 0.8663 0.7116
0.8663 0.1337 0.2884
0.8663 0.7327 0.2884